1.
# NdHo2Ni9 | OQMD | PBE | optimized geometry
# Energy of formation, eV/atom: -0.40
data_NdHo2Ni9
_cell_length_a 4.9752
_cell_length_b 4.9752
_cell_length_c 24.2281
_cell_angle_alpha 90.00
_cell_angle_beta 90.00
_cell_angle_gamma 120.00
_space_group_name_H-M_alt 'R -3 m'
_space_group_IT_number 166
_space_group_name_Hall '-R 3 2"'
loop_
_atom_site_label
_atom_site_type_symbol
_atom_site_fract_x
_atom_site_fract_y
_atom_site_fract_z
Nd1 Nd 0.0000 0.0000 0.0000
Ho1 Ho 0.0000 0.0000 0.1398
Ni1 Ni 0.0000 0.0000 0.3330
Ni2 Ni 0.0000 0.0000 0.5000
Ni3 Ni 0.0013 0.5006 0.9168

=====

2.
# NdHoNi4 | OQMD | PBE | optimized geometry
# E above lowest polymorph, eV per atom: 0.3545
# Energy of formation, eV/atom: -0.03
data_NdHoNi4
_cell_length_a 5.3895
_cell_length_b 5.3895
_cell_length_c 7.9942
_cell_angle_alpha 90.00
_cell_angle_beta 90.00
_cell_angle_gamma 120.00
_space_group_name_H-M_alt 'P 6/m m m'
_space_group_IT_number 191
_space_group_name_Hall '-P 6 2'
loop_
_atom_site_label
_atom_site_type_symbol
_atom_site_fract_x
_atom_site_fract_y
_atom_site_fract_z
Nd1 Nd 0.0000 0.0000 0.0000
Nd2 Nd 0.0000 0.0000 0.5000
Ho1 Ho 0.3333 0.6667 0.0000
Ni1 Ni 0.0000 0.5000 0.2726
Ni2 Ni 0.3333 0.6667 0.5000

=====

3.
# NdHoNi2Pb | OQMD | PBE | optimized geometry
# Uncorrected energy, eV/cell: -53.160
data_NdHoNi2Pb
_cell_length_a 3.717
_cell_length_b 4.008
_cell_length_c 14.460
_cell_angle_alpha 90.00
_cell_angle_beta 90.00
_cell_angle_gamma 90.00
_space_group_name_H-M_alt 'A m m 2'
_space_group_IT_number 38
loop_
_space_group_symop_operation_xyz
'x,y,z'
'-x,-y,z'
'-x,y,z'
'x,-y,z'
'x,y+1/2,z+1/2'
'-x,-y+1/2,z+1/2'
'-x,y+1/2,z+1/2'
'x,-y+1/2,z+1/2'
loop_
_atom_site_label
_atom_site_type_symbol
_atom_site_fract_x
_atom_site_fract_y
_atom_site_fract_z
Nd1 Nd 0.000 0.000 0.000
Ho1 Ho 0.000 0.000 0.721
Ni1 Ni 0.500 0.000 0.164
Ni2 Ni 0.500 0.000 0.569
Pb1 Pb 0.500 0.000 0.358

=====

4.
# NdHo2NiSn3Pt2 | OQMD | PBE | optimized geometry
# Uncorrected energy, eV/cell: -104.590
data_NdHo2NiSn3Pt2
_cell_length_a 3.958
_cell_length_b 13.098
_cell_length_c 7.513
_cell_angle_alpha 90.00
_cell_angle_beta 90.00
_cell_angle_gamma 90.00
_space_group_name_H-M_alt 'A m m 2'
_space_group_IT_number 38
loop_
_space_group_symop_operation_xyz
'x,y,z'
'-x,-y,z'
'-x,y,z'
'x,-y,z'
'x,y+1/2,z+1/2'
'-x,-y+1/2,z+1/2'
'-x,y+1/2,z+1/2'
'x,-y+1/2,z+1/2'
loop_
_atom_site_label
_atom_site_type_symbol
_atom_site_fract_x
_atom_site_fract_y
_atom_site_fract_z
Nd1 Nd 0.000 0.000 0.000
Ho1 Ho 0.000 0.203 0.389
Ni1 Ni 0.000 0.000 0.587
Sn1 Sn 0.500 0.000 0.345
Sn2 Sn 0.500 0.124 0.713
Pt1 Pt 0.500 0.171 0.094